Entry 1:
First-principles (PBE-GGA) data for a relaxed structure of Nd4TlAg2Au, as listed in Alexandria.

Unit cell a=5.3522 b=5.3522 c=26.1807 alpha=90.00 beta=90.00 gamma=120.00
Space group R-3m (No. 166, hexagonal axes)
Inequivalent atoms, fractional coordinates:
Nd  0.0000  0.0000  0.1196 x6
Nd  0.0000  0.0000  0.3705 x6
Tl  0.0000  0.0000  0.5000 x3
Ag  0.0000  0.0000  0.2440 x6
Au  0.0000  0.0000  0.0000 x3

Results
Calculated formation energy = -0.421 eV/atom

***

Entry 2:
First-principles (PBE-GGA) data for a relaxed structure of Nd4TlAgAu2, as listed in Alexandria.

Unit cell a=5.3347 b=5.3347 c=26.1395 alpha=90.00 beta=90.00 gamma=120.00
Space group R-3m (No. 166, hexagonal axes)
Inequivalent atoms, fractional coordinates:
Nd  0.0000  0.0000  0.1209 x6
Nd  0.0000  0.0000  0.3719 x6
Tl  0.0000  0.0000  0.5000 x3
Ag  0.0000  0.0000  0.0000 x3
Au  0.0000  0.0000  0.2467 x6

Results
Calculated formation energy = -0.521 eV/atom

***

Entry 3:
First-principles (PBE-GGA) data for a relaxed structure of NdTmAgAu, as listed in Alexandria.

Unit cell a=3.6035 b=3.6035 c=7.4748 alpha=90.00 beta=90.00 gamma=90.00
Space group P4mm (No. 99)
Inequivalent atoms, fractional coordinates:
Nd  0.0000  0.0000  0.0000 x1
Tm  0.0000  0.0000  0.4884 x1
Ag  0.5000  0.5000  0.7200 x1
Au  0.5000  0.5000  0.2724 x1

Results
Calculated formation energy = -0.576 eV/atom

***

Entry 4:
First-principles (PBE-GGA) data for a relaxed structure of NdTmAgAu, as listed in Alexandria.

Unit cell a=7.3104 b=7.3104 c=7.3104 alpha=90.00 beta=90.00 gamma=90.00
Space group F-43m (No. 216)
Inequivalent atoms, fractional coordinates:
Nd  0.0000  0.0000  0.0000 x4
Tm  0.0000  0.0000  0.5000 x4
Ag  0.2500  0.2500  0.2500 x4
Au  0.2500  0.2500  0.7500 x4

Results
Calculated formation energy = -0.545 eV/atom